Here is a relaxed structure of Li3Ac2Ag2 from Alexandria via LeMat-Bulk. Energies are from GGA-PBE.

The formation energy comes out at -0.161 eV/atom. The calculated total energy is -2.97 eV per atom. The value obtained for the total magnetic moment is 0.00 μB per cell.

The space group is C2/m (No. 12) and the conventional cell measures 11.614, 4.382 and 7.987 Å, with angles of 90.00, 116.12 and 90.00 degrees. The inequivalent atoms are Li at (0.000, 0.000, 0.000), Li at (0.150, 0.000, 0.433), Ac at (0.136, 0.500, 0.771) and Ag at (0.138, 0.500, 0.199).